A relaxed MnTlI2 crystal, computed with PBE. Values from VASP.

Computed properties:
electronic total energy: -3.54 eV per atom
N(E_F): 30.548 states/eV/cell
formation energy (no corrections): 0.5 eV per formula unit
volume: 537 Å³/cell
polymorph energy (0 for the lowest one): 322 meV/atom

Cell and atoms, written as Quantum ESPRESSO input:
```
&SYSTEM
  ibrav = 0, nat = 16, ntyp = 3
/
ATOMIC_SPECIES
Mn 54.94 Mn.upf
Tl 204.38 Tl.upf
I 126.90 I.upf
ATOMIC_POSITIONS crystal
Mn 0.0000 0.0000 0.0000
Mn 0.0000 0.5000 0.5000
Mn 0.5000 0.0000 0.5000
Mn 0.5000 0.5000 0.0000
Tl 0.0000 0.0000 0.5000
Tl 0.0000 0.5000 0.0000
Tl 0.5000 0.0000 0.0000
Tl 0.5000 0.5000 0.5000
I 0.2500 0.2500 0.2500
I 0.2500 0.2500 0.7500
I 0.2500 0.7500 0.2500
I 0.2500 0.7500 0.7500
I 0.7500 0.2500 0.2500
I 0.7500 0.2500 0.7500
I 0.7500 0.7500 0.2500
I 0.7500 0.7500 0.7500
CELL_PARAMETERS angstrom
8.1288 0.0000 0.0000
0.0000 8.1288 0.0000
0.0000 0.0000 8.1288
```

***

A relaxed Ag3GeF6 crystal, computed with PBE. Values from VASP.

Computed properties:
electronic total energy: -3.97 eV per atom
N(E_F): 3.224 states/eV/cell
formation energy (no corrections): -15.3 eV per formula unit
volume: 304 Å³/cell
polymorph energy (0 for the lowest one): 33 meV/atom

Cell and atoms, written as Quantum ESPRESSO input:
```
&SYSTEM
  ibrav = 0, nat = 20, ntyp = 3
/
ATOMIC_SPECIES
Ag 107.87 Ag.upf
Ge 72.64 Ge.upf
F 19.00 F.upf
ATOMIC_POSITIONS crystal
Ag 0.0000 0.0000 0.0000
Ag 0.0000 0.5000 0.5000
Ag 0.1154 0.0464 0.7344
Ag 0.1154 0.4536 0.2344
Ag 0.8846 0.5464 0.7656
Ag 0.8846 0.9536 0.2656
Ge 0.5000 0.0000 0.5000
Ge 0.5000 0.5000 0.0000
F 0.2351 0.1176 0.5186
F 0.2351 0.3824 0.0186
F 0.3578 0.6979 0.4446
F 0.3578 0.8021 0.9446
F 0.3910 0.0989 0.3040
F 0.3910 0.4011 0.8040
F 0.6090 0.5989 0.1960
F 0.6090 0.9011 0.6960
F 0.6422 0.1979 0.0554
F 0.6422 0.3021 0.5554
F 0.7649 0.6176 0.9814
F 0.7649 0.8824 0.4814
CELL_PARAMETERS angstrom
6.3971 0.0000 0.0000
0.0000 5.3374 0.0000
-3.5547 0.0000 8.9082
```

***

A relaxed Nd3SmPt crystal, computed with PBE. Values from VASP.

Computed properties:
electronic total energy: -5.42 eV per atom
energy of formation: -407 meV/atom
N(E_F): 12.840 states/eV/cell
volume: 310 Å³/cell
polymorph energy (0 for the lowest one): 69 meV/atom

Cell and atoms, written as Quantum ESPRESSO input:
```
&SYSTEM
  ibrav = 0, nat = 10, ntyp = 3
/
ATOMIC_SPECIES
Nd 144.24 Nd.upf
Sm 150.36 Sm.upf
Pt 195.08 Pt.upf
ATOMIC_POSITIONS crystal
Nd 0.1090 0.2500 0.2906
Nd 0.2812 0.7500 0.0593
Nd 0.3264 0.7500 0.4816
Nd 0.6736 0.2500 0.5184
Nd 0.7188 0.2500 0.9407
Nd 0.8910 0.7500 0.7094
Sm 0.2336 0.2500 0.7527
Sm 0.7664 0.7500 0.2473
Pt 0.4747 0.7500 0.7944
Pt 0.5253 0.2500 0.2056
CELL_PARAMETERS angstrom
6.6245 0.0000 0.0000
0.0000 5.2714 0.0000
-1.0214 0.0000 8.8781
```

***

A relaxed Ce3TeP2 crystal, computed with PBE. Values from VASP.

Computed properties:
electronic total energy: -6.43 eV per atom
N(E_F): 29.354 states/eV/cell
formation energy (no corrections): -6.8 eV per formula unit
volume: 323 Å³/cell

Cell and atoms, written as Quantum ESPRESSO input:
```
&SYSTEM
  ibrav = 0, nat = 12, ntyp = 3
/
ATOMIC_SPECIES
Ce 140.12 Ce.upf
Te 127.60 Te.upf
P 30.97 P.upf
ATOMIC_POSITIONS crystal
Ce 0.0979 0.9021 0.7500
Ce 0.3754 0.6246 0.5448
Ce 0.3754 0.6246 0.9552
Ce 0.6246 0.3754 0.0448
Ce 0.6246 0.3754 0.4552
Ce 0.9021 0.0979 0.2500
Te 0.2301 0.7699 0.2500
Te 0.7699 0.2301 0.7500
P 0.0000 0.0000 0.0000
P 0.0000 0.0000 0.5000
P 0.4929 0.5071 0.2500
P 0.5071 0.4929 0.7500
CELL_PARAMETERS angstrom
2.3545 -6.8673 0.0000
2.3545 6.8673 0.0000
0.0000 0.0000 9.9936
```

***

A relaxed Mg6Sc7 crystal, computed with PBE. Values from VASP.

Computed properties:
electronic total energy: -3.99 eV per atom
energy of formation: 159 meV/atom
N(E_F): 13.073 states/eV/cell
volume: 323 Å³/cell

Cell and atoms, written as Quantum ESPRESSO input:
```
&SYSTEM
  ibrav = 0, nat = 13, ntyp = 2
/
ATOMIC_SPECIES
Mg 24.30 Mg.upf
Sc 44.96 Sc.upf
ATOMIC_POSITIONS crystal
Mg 0.0475 0.0475 0.0475
Mg 0.1483 0.1483 0.1483
Mg 0.3332 0.3332 0.3332
Mg 0.6668 0.6668 0.6668
Mg 0.8517 0.8517 0.8517
Mg 0.9525 0.9525 0.9525
Sc 0.0859 0.5895 0.5895
Sc 0.4105 0.4105 0.9141
Sc 0.4105 0.9141 0.4105
Sc 0.5000 0.5000 0.5000
Sc 0.5895 0.0859 0.5895
Sc 0.5895 0.5895 0.0859
Sc 0.9141 0.4105 0.4105
CELL_PARAMETERS angstrom
2.9710 1.7153 10.5781
-2.9710 1.7153 10.5781
0.0000 -3.4307 10.5781
```

***

A relaxed GdCd2Sb crystal, computed with PBE. Values from VASP.

Computed properties:
electronic total energy: -5.50 eV per atom
N(E_F): 1.410 states/eV/cell
formation energy (no corrections): -2.0 eV per formula unit
volume: 101 Å³/cell
polymorph energy (0 for the lowest one): 0 meV/atom

Cell and atoms, written as Quantum ESPRESSO input:
```
&SYSTEM
  ibrav = 0, nat = 4, ntyp = 3
/
ATOMIC_SPECIES
Gd 157.25 Gd.upf
Cd 112.41 Cd.upf
Sb 121.76 Sb.upf
ATOMIC_POSITIONS crystal
Gd 0.0000 0.0000 0.0000
Cd 0.0000 0.5000 0.5000
Cd 0.5000 0.0000 0.5000
Sb 0.5000 0.5000 0.0000
CELL_PARAMETERS angstrom
4.4433 0.0000 0.0000
0.0000 4.4433 0.0000
0.0000 0.0000 5.1244
```

***

Question: Look up the electronic total energy of the fourth one.
Answer: -6.43 eV per atom